Entry from Alexandria via LeMat-Bulk: a crystal of Li8Ti2O7 relaxed with PBEsol (SCAN).

a = 7.5568 Å, b = 10.0779 Å, c = 9.4752 Å
α = 90.00°, β = 109.55°, γ = 90.00°
Last column: nearest neighbours and their distance in Å.
Fractional positions:
1 Li 0.0261 0.2330 0.1067  4 O 1.96-2.09
2 Li 0.0261 0.2670 0.6067  4 O 1.96-2.09
3 Li 0.0868 0.0290 0.6273  4 O 1.87-2.04
4 Li 0.0868 0.4710 0.1273  4 O 1.87-2.04
5 Li 0.1382 0.5118 0.4630  4 O 1.94-2.02
6 Li 0.1382 0.9882 0.9630  4 O 1.94-2.02
7 Li 0.1878 0.5224 0.7798  3 O 1.99-2.14
8 Li 0.1878 0.9776 0.2798  3 O 1.99-2.14
9 Li 0.2161 0.2260 0.8908  4 O 1.99-2.20
10 Li 0.2161 0.2740 0.3908  4 O 1.99-2.20
11 Li 0.3722 0.6730 0.9917  3 O 1.81-1.93
12 Li 0.3722 0.8270 0.4917  3 O 1.81-1.93
13 Li 0.4120 0.0518 0.5922  4 O 1.99-2.18
14 Li 0.4120 0.4482 0.0922  4 O 1.99-2.18
15 Li 0.4329 0.0470 0.8743  3 O 1.91-1.97
16 Li 0.4329 0.4530 0.3743  3 O 1.91-1.97
17 Li 0.5671 0.5470 0.6257  3 O 1.91-1.97
18 Li 0.5671 0.9530 0.1257  3 O 1.91-1.97
19 Li 0.5880 0.5518 0.9078  4 O 1.99-2.18
20 Li 0.5880 0.9482 0.4078  4 O 1.99-2.18
21 Li 0.6278 0.1730 0.5083  3 O 1.81-1.93
22 Li 0.6278 0.3270 0.0083  3 O 1.81-1.93
23 Li 0.7839 0.7260 0.6092  4 O 1.99-2.20
24 Li 0.7839 0.7740 0.1092  4 O 1.99-2.20
25 Li 0.8122 0.0224 0.7202  3 O 1.99-2.14
26 Li 0.8122 0.4776 0.2202  3 O 1.99-2.14
27 Li 0.8618 0.0118 0.0370  4 O 1.94-2.02
28 Li 0.8618 0.4882 0.5370  4 O 1.94-2.02
29 Li 0.9132 0.5290 0.8727  4 O 1.87-2.04
30 Li 0.9132 0.9710 0.3727  4 O 1.87-2.04
31 Li 0.9739 0.7330 0.3933  4 O 1.96-2.09
32 Li 0.9739 0.7670 0.8933  4 O 1.96-2.09
33 Ti 0.1788 0.7149 0.1733  4 O 1.83-1.95
34 Ti 0.1788 0.7851 0.6733  4 O 1.83-1.95
35 Ti 0.4295 0.1941 0.2166  4 O 1.83-1.98
36 Ti 0.4295 0.3059 0.7166  4 O 1.83-1.98
37 Ti 0.5705 0.6941 0.2834  4 O 1.83-1.98
38 Ti 0.5705 0.8059 0.7834  4 O 1.83-1.98
39 Ti 0.8212 0.2149 0.3267  4 O 1.83-1.95
40 Ti 0.8212 0.2851 0.8267  4 O 1.83-1.95
41 O 0.0370 0.6353 0.5851  1 Ti 1.88, 3 Li 1.94-2.02
42 O 0.0370 0.8647 0.0851  1 Ti 1.88, 3 Li 1.94-2.02
43 O 0.0637 0.6090 0.2727  1 Ti 1.83, 3 Li 1.96-2.01
44 O 0.0637 0.8910 0.7727  1 Ti 1.83, 3 Li 1.96-2.01
45 O 0.1359 0.6146 0.9931  4 Li 1.88-2.04, 1 Ti 1.92
46 O 0.1359 0.8854 0.4931  4 Li 1.88-2.04, 1 Ti 1.92
47 O 0.2695 0.1575 0.7118  4 Li 1.87-2.09, 1 Ti 1.91
48 O 0.2695 0.3425 0.2118  4 Li 1.87-2.09, 1 Ti 1.91
49 O 0.3747 0.0879 0.0507  1 Ti 1.83, 3 Li 1.91-1.98
50 O 0.3747 0.4121 0.5507  1 Ti 1.83, 3 Li 1.91-1.98
51 O 0.3821 0.6778 0.8039  2 Li 1.81-1.99, 2 Ti 1.95-1.98
52 O 0.3821 0.8222 0.3039  2 Li 1.81-1.99, 2 Ti 1.95-1.98
53 O 0.3864 0.1090 0.3804  1 Ti 1.89, 3 Li 1.93-2.03
54 O 0.3864 0.3910 0.8804  1 Ti 1.89, 3 Li 1.93-2.03
55 O 0.6136 0.6090 0.1196  1 Ti 1.89, 3 Li 1.93-2.03
56 O 0.6136 0.8910 0.6196  1 Ti 1.89, 3 Li 1.93-2.03
57 O 0.6179 0.1778 0.6961  2 Li 1.81-1.99, 2 Ti 1.95-1.98
58 O 0.6179 0.3222 0.1961  2 Li 1.81-1.99, 2 Ti 1.95-1.98
59 O 0.6253 0.5879 0.4493  1 Ti 1.83, 3 Li 1.91-1.98
60 O 0.6253 0.9121 0.9493  1 Ti 1.83, 3 Li 1.91-1.98
61 O 0.7305 0.6575 0.7882  4 Li 1.87-2.09, 1 Ti 1.91
62 O 0.7305 0.8425 0.2882  4 Li 1.87-2.09, 1 Ti 1.91
63 O 0.8641 0.1146 0.5069  4 Li 1.88-2.04, 1 Ti 1.92
64 O 0.8641 0.3854 0.0069  4 Li 1.88-2.04, 1 Ti 1.92
65 O 0.9363 0.1090 0.2273  1 Ti 1.83, 3 Li 1.96-2.01
66 O 0.9363 0.3910 0.7273  1 Ti 1.83, 3 Li 1.96-2.01
67 O 0.9630 0.1353 0.9149  1 Ti 1.88, 3 Li 1.94-2.02
68 O 0.9630 0.3647 0.4149  1 Ti 1.88, 3 Li 1.94-2.02

Results
SG = No. 14
crystal system = monoclinic
formation energy from raw total energies = -2.351 eV per atom
density = 2.57 g cm⁻³

Entry from Alexandria via LeMat-Bulk: a crystal of ReMoAs2 relaxed with PBEsol (SCAN).

a = 3.0625 Å, b = 4.0133 Å, c = 5.0571 Å
α = 90.00°, β = 90.00°, γ = 90.00°
Last column: nearest neighbours and their distance in Å.
Fractional positions:
1 Re 0.0000 0.0000 0.0000  4 As 2.52
2 Mo 0.5000 0.0000 0.5000  4 As 2.52
3 As 0.0000 0.5000 0.5000  4 Mo 2.52
4 As 0.5000 0.5000 0.0000  4 Re 2.52

Results
Fermi-level density of states = 2.56 states/eV per cell
SG = No. 47
crystal system = orthorhombic
energy relative to the elements = 0.5478 eV per atom
density = 11.54 g cm⁻³

Entry from Alexandria via LeMat-Bulk: a crystal of Rb8Zr6MnBr20 relaxed with PBEsol (SCAN).

a = 11.7733 Å, b = 11.7733 Å, c = 11.7733 Å
α = 60.00°, β = 60.00°, γ = 60.00°
Last column: nearest neighbours and their distance in Å.
Fractional positions:
1 Rb 0.1399 0.1399 0.1399  4 Br 3.18-3.37
2 Rb 0.1399 0.1399 0.5804  4 Br 3.18-3.37
3 Rb 0.1399 0.5804 0.1399  4 Br 3.18-3.37
4 Rb 0.4196 0.8601 0.8601  4 Br 3.18-3.37
5 Rb 0.5804 0.1399 0.1399  4 Br 3.18-3.37
6 Rb 0.8601 0.4196 0.8601  4 Br 3.18-3.37
7 Rb 0.8601 0.8601 0.4196  4 Br 3.18-3.37
8 Rb 0.8601 0.8601 0.8601  4 Br 3.18-3.37
9 Zr 0.3553 0.3553 0.6447  1 Mn 2.41
10 Zr 0.3553 0.6447 0.3553  1 Mn 2.41
11 Zr 0.3553 0.6447 0.6447  1 Mn 2.41
12 Zr 0.6447 0.3553 0.3553  1 Mn 2.41
13 Zr 0.6447 0.3553 0.6447  1 Mn 2.41
14 Zr 0.6447 0.6447 0.3553  1 Mn 2.41
15 Mn 0.5000 0.5000 0.5000  6 Zr 2.41
16 Br 0.1725 0.5000 0.5000  2 Zr 2.75
17 Br 0.1725 0.5000 0.8275  2 Zr 2.75
18 Br 0.1725 0.8275 0.5000  2 Zr 2.75
19 Br 0.1841 0.1841 0.8159  1 Zr 2.85
20 Br 0.1841 0.8159 0.1841  1 Zr 2.85
21 Br 0.1841 0.8159 0.8159  1 Zr 2.85
22 Br 0.2500 0.2500 0.2500  4 Rb 3.18
23 Br 0.5000 0.1725 0.5000  2 Zr 2.75
24 Br 0.5000 0.1725 0.8275  2 Zr 2.75
25 Br 0.5000 0.5000 0.1725  2 Zr 2.75
26 Br 0.5000 0.5000 0.8275  2 Zr 2.75
27 Br 0.5000 0.8275 0.1725  2 Zr 2.75
28 Br 0.5000 0.8275 0.5000  2 Zr 2.75
29 Br 0.7500 0.7500 0.7500  4 Rb 3.18
30 Br 0.8159 0.1841 0.1841  1 Zr 2.85
31 Br 0.8159 0.1841 0.8159  1 Zr 2.85
32 Br 0.8159 0.8159 0.1841  1 Zr 2.85
33 Br 0.8275 0.1725 0.5000  2 Zr 2.75
34 Br 0.8275 0.5000 0.1725  2 Zr 2.75
35 Br 0.8275 0.5000 0.5000  2 Zr 2.75

Results
Fermi-level density of states = 6.68 states/eV per cell
SG = No. 225
crystal system = cubic
formation energy from raw total energies = -1.692 eV per atom
density = 4.15 g cm⁻³

Entry from Alexandria via LeMat-Bulk: a crystal of Te3PdBr relaxed with PBEsol (SCAN).

a = 5.2234 Å, b = 5.2234 Å, c = 5.2234 Å
α = 90.00°, β = 90.00°, γ = 90.00°
Last column: nearest neighbours and their distance in Å.
Fractional positions:
1 Te 0.0000 0.0000 0.5000  2 Pd 2.61
2 Te 0.0000 0.5000 0.0000  2 Pd 2.61
3 Te 0.5000 0.0000 0.0000  2 Pd 2.61
4 Pd 0.0000 0.0000 0.0000  6 Te 2.61
5 Br 0.5000 0.5000 0.5000  12 Te 3.69

Results
Fermi-level density of states = 7.67 states/eV per cell
SG = No. 221
crystal system = cubic
formation energy from raw total energies = 0.320 eV per atom
density = 6.63 g cm⁻³

Entry from Alexandria via LeMat-Bulk: a crystal of ZrTeCl2 relaxed with PBEsol (SCAN).

a = 5.7410 Å, b = 11.4265 Å, c = 3.3149 Å
α = 90.00°, β = 90.00°, γ = 90.00°
Last column: nearest neighbours and their distance in Å.
Fractional positions:
1 Zr 0.0000 0.0000 0.0000  4 Cl 2.51
2 Zr 0.5000 0.5000 0.0000  4 Cl 2.51
3 Te 0.0000 0.5000 0.0000  2 Zr 2.87
4 Te 0.5000 0.0000 0.0000  2 Zr 2.87
5 Cl 0.0000 0.1645 0.5000  2 Zr 2.51
6 Cl 0.0000 0.8355 0.5000  2 Zr 2.51
7 Cl 0.5000 0.3355 0.5000  2 Zr 2.51
8 Cl 0.5000 0.6645 0.5000  2 Zr 2.51

Results
Fermi-level density of states = 2.08 states/eV per cell
SG = No. 65
crystal system = orthorhombic
formation energy from raw total energies = -1.412 eV per atom
density = 4.42 g cm⁻³

Entry from Alexandria via LeMat-Bulk: a crystal of ScSb3Pb4O13 relaxed with PBEsol (SCAN).

a = 7.4736 Å, b = 7.4736 Å, c = 7.4736 Å
α = 60.15°, β = 60.15°, γ = 60.15°
Last column: nearest neighbours and their distance in Å.
Fractional positions:
1 Sc 0.0000 0.0000 0.0000  6 O 2.09-2.12
2 Sb 0.9998 0.9998 0.4985  6 O 1.96-2.02
3 Sb 0.9998 0.4985 0.9998  6 O 1.96-2.02
4 Sb 0.4985 0.9998 0.9998  6 O 1.96-2.02
5 Pb 0.5002 0.5002 0.9973  1 O 2.32
6 Pb 0.5002 0.9973 0.5002  1 O 2.32
7 Pb 0.5024 0.5024 0.5024  1 O 2.29
8 Pb 0.9973 0.5002 0.5002  1 O 2.32
9 O 0.0765 0.0765 0.6619  1 Sb 1.97, 1 Sc 2.12
10 O 0.0765 0.6619 0.0765  1 Sb 1.97, 1 Sc 2.12
11 O 0.0771 0.6782 0.6782  2 Sb 2.02
12 O 0.3189 0.3189 0.9228  2 Sb 2.01
13 O 0.3189 0.9228 0.3189  2 Sb 2.01
14 O 0.3325 0.9258 0.9258  1 Sb 1.96, 1 Sc 2.09
15 O 0.3772 0.3772 0.3772  4 Pb 2.29-2.32
16 O 0.6619 0.0765 0.0765  1 Sb 1.97, 1 Sc 2.12
17 O 0.6782 0.0771 0.6782  2 Sb 2.02
18 O 0.6782 0.6782 0.0771  2 Sb 2.02
19 O 0.9228 0.3189 0.3189  2 Sb 2.01
20 O 0.9258 0.3325 0.9258  1 Sb 1.96, 1 Sc 2.09
21 O 0.9258 0.9258 0.3325  1 Sb 1.96, 1 Sc 2.09

Results
Fermi-level density of states = 0.00 states/eV per cell
SG = No. 160
crystal system = trigonal
formation energy from raw total energies = -1.780 eV per atom
density = 8.11 g cm⁻³

Which value of density does entry 6 give? 8.11 g cm⁻³